# 1
Here is a relaxed Sc2TiGe2Rh5 crystal from the Alexandria database. Energies are from GGA-PBE.

Cell lengths 9.4550, 9.4550, 3.5870 Å; angles 90.00, 90.00, 90.00 degrees
Positions (direct):
Sc  0.1710  0.3290  0.0000
Sc  0.3290  0.8290  0.0000
Sc  0.6710  0.1710  0.0000
Sc  0.8290  0.6710  0.0000
Ti  0.0000  0.0000  0.0000
Ti  0.5000  0.5000  0.0000
Ge  0.1282  0.6282  0.0000
Ge  0.3718  0.1282  0.0000
Ge  0.6282  0.8718  0.0000
Ge  0.8718  0.3718  0.0000
Rh  0.0000  0.5000  0.5000
Rh  0.0681  0.7975  0.5000
Rh  0.2025  0.0681  0.5000
Rh  0.2975  0.5681  0.5000
Rh  0.4319  0.2975  0.5000
Rh  0.5000  0.0000  0.5000
Rh  0.5681  0.7025  0.5000
Rh  0.7025  0.4319  0.5000
Rh  0.7975  0.9319  0.5000
Rh  0.9319  0.2025  0.5000

- SG: P4/mbm, No. 127
- Fermi-level density of states: 4.90 states/eV/cell
- Total DFT energy (no corrections): -7.4676 eV/atom



# 2
Here is a relaxed Tm3Ag4Pb2 crystal from the Alexandria database. Energies are from GGA-PBE.

Cell lengths 5.9736, 5.9736, 9.2321 Å; angles 115.40, 115.40, 46.79 degrees
Positions (direct):
Tm  0.0000  0.0000  0.0000
Tm  0.3403  0.3403  0.3217
Tm  0.6597  0.6597  0.6783
Ag  0.0832  0.0832  0.4266
Ag  0.2932  0.2932  0.9675
Ag  0.7068  0.7068  0.0325
Ag  0.9168  0.9168  0.5734
Pb  0.3869  0.3869  0.7261
Pb  0.6131  0.6131  0.2739

- SG: C2/m, No. 12
- Fermi-level density of states: 4.37 states/eV/cell
- Total DFT energy (no corrections): -3.8685 eV/atom



# 3
Here is a relaxed Tl6As7 crystal from the Alexandria database. Energies are from GGA-PBE.

Cell lengths 11.3827, 11.3827, 11.3827 Å; angles 31.43, 31.43, 31.43 degrees
Positions (direct):
Tl  0.0510  0.0510  0.0510
Tl  0.1576  0.1576  0.1576
Tl  0.3242  0.3242  0.3242
Tl  0.6758  0.6758  0.6758
Tl  0.8424  0.8424  0.8424
Tl  0.9490  0.9490  0.9490
As  0.1481  0.5656  0.5656
As  0.4344  0.4344  0.8519
As  0.4344  0.8519  0.4344
As  0.5000  0.5000  0.5000
As  0.5656  0.1481  0.5656
As  0.5656  0.5656  0.1481
As  0.8519  0.4344  0.4344

- SG: R-3m, No. 166
- Fermi-level density of states: 6.56 states/eV/cell
- Total DFT energy (no corrections): -3.4995 eV/atom



Repeat the first record exactly.
Here is a relaxed Sc2TiGe2Rh5 crystal from the Alexandria database. Energies are from GGA-PBE.

Cell lengths 9.4550, 9.4550, 3.5870 Å; angles 90.00, 90.00, 90.00 degrees
Positions (direct):
Sc  0.1710  0.3290  0.0000
Sc  0.3290  0.8290  0.0000
Sc  0.6710  0.1710  0.0000
Sc  0.8290  0.6710  0.0000
Ti  0.0000  0.0000  0.0000
Ti  0.5000  0.5000  0.0000
Ge  0.1282  0.6282  0.0000
Ge  0.3718  0.1282  0.0000
Ge  0.6282  0.8718  0.0000
Ge  0.8718  0.3718  0.0000
Rh  0.0000  0.5000  0.5000
Rh  0.0681  0.7975  0.5000
Rh  0.2025  0.0681  0.5000
Rh  0.2975  0.5681  0.5000
Rh  0.4319  0.2975  0.5000
Rh  0.5000  0.0000  0.5000
Rh  0.5681  0.7025  0.5000
Rh  0.7025  0.4319  0.5000
Rh  0.7975  0.9319  0.5000
Rh  0.9319  0.2025  0.5000

- SG: P4/mbm, No. 127
- Fermi-level density of states: 4.90 states/eV/cell
- Total DFT energy (no corrections): -7.4676 eV/atom



What did the second record say?
Here is a relaxed Tm3Ag4Pb2 crystal from the Alexandria database. Energies are from GGA-PBE.

Cell lengths 5.9736, 5.9736, 9.2321 Å; angles 115.40, 115.40, 46.79 degrees
Positions (direct):
Tm  0.0000  0.0000  0.0000
Tm  0.3403  0.3403  0.3217
Tm  0.6597  0.6597  0.6783
Ag  0.0832  0.0832  0.4266
Ag  0.2932  0.2932  0.9675
Ag  0.7068  0.7068  0.0325
Ag  0.9168  0.9168  0.5734
Pb  0.3869  0.3869  0.7261
Pb  0.6131  0.6131  0.2739

- SG: C2/m, No. 12
- Fermi-level density of states: 4.37 states/eV/cell
- Total DFT energy (no corrections): -3.8685 eV/atom



Which value of Fermi-level density of states does entry 1 give?
4.90 states/eV/cell